1.
Computed, not measured: Bi3PtBr after structural relaxation at the PBE level of DFT.

```
Bi3PtBr
1.0
-0.8124 -6.0308 3.1487
7.2898 1.5932 6.5833
-8.9759 2.2558 3.6556
Bi Br Pt
12 4 4
Direct
0.3986 0.1081 0.2525
0.5144 0.1701 0.6190
0.6303 0.7161 0.0179
0.4856 0.8299 0.3810
0.9856 0.3810 0.8299
0.1303 0.0179 0.7161
0.0144 0.6190 0.1701
0.8697 0.9821 0.2839
0.8986 0.2525 0.1081
0.3697 0.2839 0.9821
0.6014 0.8919 0.7475
0.1014 0.7475 0.8919
0.9799 0.7157 0.5464
0.5201 0.4536 0.2843
0.4799 0.5464 0.7157
0.0201 0.2843 0.4536
0.7500 0.1611 0.8389
0.7500 0.9806 0.0194
0.2500 0.8389 0.1611
0.2500 0.0194 0.9806
```

Its space group is No. 15. The calculation puts the formation energy (no corrections) at -25.96 kJ per mole of atoms. The theoretical density is 9.644 Mg/m³. The magnetic moment is 0.00 μB/f.u.

---

2.
Computed, not measured: YLuPt after structural relaxation at the PBE level of DFT.

```
YLuPt
1.0
-3.7092 -2.2429 -2.0982
0.7912 -3.1631 -3.5440
-0.7157 -4.7006 0.7637
Y Lu Pt
1 1 1
Direct
0.0000 0.0000 0.0000
0.5000 0.5000 0.5000
0.2500 0.2500 0.2500
```

Its space group is No. 216. The theoretical density is 9.651 Mg/m³. The magnetic moment is 0.00 μB/f.u.

---

3.
Computed, not measured: LiMg2Cd2In2 after structural relaxation at the PBE level of DFT.

```
LiMg2Cd2In2
1.0
-0.3467 0.7322 4.9198
-2.5056 -3.2487 2.8335
5.2149 -4.7124 3.5955
Mg Cd Li In
2 2 1 2
Direct
0.8622 0.8622 0.4133
0.1378 0.1378 0.5867
0.5708 0.5708 0.2877
0.4292 0.4292 0.7123
0.0000 0.0000 0.0000
0.2805 0.2805 0.1585
0.7195 0.7195 0.8415
```

Its space group is No. 166. The theoretical density is 5.351 Mg/m³. The magnetic moment is 0.00 μB/f.u.

---

DFT total energy values (in Ry per atom) by entry order: -0.3043; -0.4832; -0.1359.